(1)
A plane-wave DFT calculation with GGA-PBE was carried out for a relaxed structure of La2TcSbS.

a b c (Å): 5.5813 4.3879 5.5813
angles (deg): 90.00 90.00 90.00
Last column: magnetic moment on the atom in μB.
Fractional positions:
Sb  0.5000  0.5000  0.5000  0.03
S  0.0000  0.0000  0.0000  0.01
Tc  0.0000  0.5000  0.0000  0.46
La  0.0000  0.0000  0.5000  -0.01
La  0.5000  0.0000  0.0000  0.00

Summary:
Volume   136.7 Å³/cell
Space-group type   P4/mmm, No. 123
Total DFT energy (no corrections)   -31.98 eV for the cell shown
Formation energy without anion corrections   -3.511 eV per formula unit



(2)
A plane-wave DFT calculation with GGA-PBE was carried out for a relaxed structure of La4SbTeS2.

a b c (Å): 8.7672 8.7672 8.8256
angles (deg): 120.22 120.22 89.99
Fractional positions:
La  0.2785  0.7554  0.0169
La  0.7446  0.2215  0.4831
La  0.2554  0.7785  0.5169
La  0.7215  0.2446  0.9831
La  0.7415  0.7586  0.0237
La  0.7414  0.7585  0.4763
La  0.2586  0.2415  0.5237
La  0.2585  0.2414  0.9763
Sb  0.0000  0.5000  0.0000
Sb  0.0000  0.5000  0.5000
Te  0.5000  0.5000  0.5000
Te  0.0000  0.0000  0.0000
S  0.5000  0.0000  0.0000
S  0.5000  0.0000  0.5000
S  0.0000  0.0000  0.5000
S  0.5000  0.5000  0.0000

Summary:
Volume   476.5 Å³/cell
Space-group type   Imma, No. 74
Total DFT energy (no corrections)   -99.01 eV for the cell shown
Formation energy without anion corrections   -14.277 eV per formula unit



(3)
A plane-wave DFT calculation with GGA-PBE was carried out for a relaxed structure of La6SbTe3S2.

a b c (Å): 7.6413 7.6413 7.8429
angles (deg): 99.38 99.38 119.95
Fractional positions:
La  0.9252  0.5753  0.7769
La  0.7219  0.7219  0.2180
La  0.0748  0.4247  0.2231
La  0.5753  0.9252  0.7769
La  0.2781  0.2781  0.7820
La  0.4247  0.0748  0.2231
Sb  0.0000  0.0000  0.0000
Te  0.1601  0.8399  0.5000
Te  0.8399  0.1601  0.5000
Te  0.5000  0.5000  0.5000
S  0.3321  0.6679  0.0000
S  0.6679  0.3321  0.0000

Summary:
Volume   375.1 Å³/cell
Space-group type   C2/m, No. 12
Total DFT energy (no corrections)   -72.01 eV for the cell shown
Formation energy without anion corrections   -20.643 eV per formula unit



(4)
A plane-wave DFT calculation with GGA-PBE was carried out for a relaxed structure of La8Sb3Te4S.

a b c (Å): 9.0871 9.1363 9.0872
angles (deg): 119.82 120.00 90.00
Fractional positions:
La  0.2375  0.7328  0.9953
La  0.2376  0.7329  0.4752
La  0.2522  0.2567  0.5045
La  0.7578  0.7328  0.9953
La  0.2422  0.2672  0.0047
La  0.7478  0.7433  0.4955
La  0.7624  0.2671  0.5248
La  0.7625  0.2672  0.0047
Sb  0.5000  0.5000  0.0000
Sb  0.5000  0.5000  0.5000
Sb  0.0000  0.5000  0.5000
Te  0.5000  0.0000  0.0000
Te  0.5000  0.0000  0.5000
Te  0.0000  0.0000  0.0000
Te  0.0000  0.0000  0.5000
S  0.0000  0.5000  0.0000

Summary:
Volume   534.9 Å³/cell
Space-group type   R-3m, No. 166
Total DFT energy (no corrections)   -93.33 eV for the cell shown
Formation energy without anion corrections   -24.851 eV per formula unit



(5)
A plane-wave DFT calculation with GGA-PBE was carried out for a relaxed structure of LaTl2SbS4.

a b c (Å): 8.5630 8.5630 8.6791
angles (deg): 120.45 120.45 90.00
Fractional positions:
La  0.0000  0.5000  0.0000
La  0.0000  0.5000  0.5000
Tl  0.5000  0.0000  0.0000
Tl  0.5000  0.0000  0.5000
Tl  0.0000  0.0000  0.5000
Tl  0.5000  0.5000  0.0000
Sb  0.5000  0.5000  0.5000
Sb  0.0000  0.0000  0.0000
S  0.2060  0.7442  0.9751
S  0.7557  0.2940  0.5249
S  0.2443  0.7060  0.4751
S  0.7940  0.2557  0.0249
S  0.7610  0.7390  0.9667
S  0.7610  0.7390  0.5333
S  0.2390  0.2610  0.4667
S  0.2390  0.2610  0.0333

Summary:
Volume   443.8 Å³/cell
Space-group type   Imma, No. 74
Total DFT energy (no corrections)   -74.96 eV for the cell shown
Formation energy without anion corrections   -7.190 eV per formula unit



(6)
A plane-wave DFT calculation with GGA-PBE was carried out for a relaxed structure of LaZnSbS.

a b c (Å): 4.6332 4.6332 12.0357
angles (deg): 78.90 78.90 60.00
Fractional positions:
La  0.1134  0.1134  0.6599
La  0.8866  0.8866  0.3401
Zn  0.6961  0.6961  0.9118
Zn  0.3039  0.3039  0.0882
Sb  0.6162  0.6162  0.1513
Sb  0.3838  0.3838  0.8487
S  0.8032  0.8032  0.5904
S  0.1968  0.1968  0.4096

Summary:
Volume   218.2 Å³/cell
Space-group type   R-3m, No. 166
Total DFT energy (no corrections)   -38.06 eV for the cell shown
Formation energy without anion corrections   -4.581 eV per formula unit



(7)
A plane-wave DFT calculation with GGA-PBE was carried out for a relaxed structure of LaSc4S6.

a b c (Å): 3.7635 6.3892 19.0684
angles (deg): 90.00 90.00 107.13
Fractional positions:
La  0.6562  0.3123  0.2500
La  0.3438  0.6877  0.7500
Sc  0.8594  0.7188  0.5389
Sc  0.4054  0.8108  0.1230
Sc  0.1406  0.2812  0.4611
Sc  0.5946  0.1892  0.8770
Sc  0.8594  0.7188  0.9611
Sc  0.1406  0.2812  0.0389
Sc  0.5946  0.1892  0.6230
Sc  0.4054  0.8108  0.3770
S  0.5000  0.0000  0.0000
S  0.5000  0.0000  0.5000
S  0.0414  0.0828  0.3409
S  0.9586  0.9172  0.6591
S  0.9586  0.9172  0.8409
S  0.0414  0.0828  0.1591
S  0.7676  0.5352  0.4129
S  0.2324  0.4648  0.5871
S  0.2324  0.4648  0.9129
S  0.7676  0.5352  0.0871
S  0.3304  0.6608  0.2500
S  0.6696  0.3392  0.7500

Summary:
Volume   438.2 Å³/cell
Space-group type   Cmcm, No. 63
Total DFT energy (no corrections)   -153.66 eV for the cell shown
Formation energy without anion corrections   -21.811 eV per formula unit



(8)
A plane-wave DFT calculation with GGA-PBE was carried out for a relaxed structure of LaSc2S.

a b c (Å): 9.8091 9.8091 9.8091
angles (deg): 20.53 20.53 20.53
Fractional positions:
Sc  0.8854  0.8854  0.8854
Sc  0.1146  0.1146  0.1146
S  0.5000  0.5000  0.5000
La  0.0000  0.0000  0.0000

Summary:
Volume   101.6 Å³/cell
Space-group type   R-3m, No. 166
Total DFT energy (no corrections)   -24.75 eV for the cell shown
Formation energy without anion corrections   -3.037 eV per formula unit



(9)
A plane-wave DFT calculation with GGA-PBE was carried out for a relaxed structure of LaScS4.

a b c (Å): 7.0438 6.9085 7.9800
angles (deg): 115.65 81.72 90.00
Fractional positions:
La  0.1239  0.1384  0.2767
La  0.8761  0.8616  0.7233
Sc  0.7503  0.4721  0.9442
Sc  0.2497  0.5279  0.0558
S  0.8740  0.2989  0.5978
S  0.4823  0.3194  0.1477
S  0.0000  0.2443  0.0000
S  0.5177  0.1718  0.8523
S  0.1260  0.7011  0.4022
S  0.5177  0.6806  0.8523
S  0.0000  0.7557  0.0000
S  0.4823  0.8282  0.1477

Summary:
Volume   345.6 Å³/cell
Space-group type   C2/m, No. 12
Total DFT energy (no corrections)   -73.46 eV for the cell shown
Formation energy without anion corrections   -8.963 eV per formula unit



(10)
A plane-wave DFT calculation with GGA-PBE was carried out for a relaxed structure of LaSc2S.

a b c (Å): 8.4016 8.4016 6.6225
angles (deg): 50.63 50.63 90.00
Fractional positions:
Sc  0.5275  0.1250  0.2500
Sc  0.2225  0.6250  0.2500
Sc  0.3750  0.4725  0.7500
Sc  0.8750  0.7775  0.7500
S  0.5000  0.5000  0.0000
S  0.2500  0.7500  0.5000
La  0.0000  0.0000  0.0000
La  0.7500  0.2500  0.5000

Summary:
Volume   206.6 Å³/cell
Space-group type   I-42d, No. 122
Total DFT energy (no corrections)   -48.75 eV for the cell shown
Formation energy without anion corrections   -2.659 eV per formula unit



(11)
A plane-wave DFT calculation with GGA-PBE was carried out for a relaxed structure of La3Sc5S12.

a b c (Å): 13.7071 13.7071 13.7071
angles (deg): 109.47 109.47 109.47
Fractional positions:
La  0.7500  0.3750  0.1250
La  0.8750  0.7500  0.1250
La  0.3750  0.7500  0.6250
La  0.2500  0.1250  0.3750
La  0.8750  0.1250  0.2500
La  0.3750  0.6250  0.2500
La  0.6250  0.3750  0.7500
La  0.1250  0.8750  0.7500
La  0.7500  0.8750  0.6250
La  0.6250  0.2500  0.3750
La  0.1250  0.2500  0.8750
La  0.2500  0.6250  0.8750
Sc  0.1250  0.3750  0.2500
Sc  0.0000  0.5000  0.0000
Sc  0.0000  0.0000  0.0000
Sc  0.3750  0.2500  0.1250
Sc  0.5000  0.0000  0.5000
Sc  0.5000  0.5000  0.0000
Sc  0.1250  0.7500  0.3750
Sc  0.7500  0.1250  0.8750
Sc  0.7500  0.6250  0.3750
Sc  0.3750  0.1250  0.7500
Sc  0.6250  0.8750  0.2500
Sc  0.5000  0.5000  0.5000
Sc  0.5000  0.0000  0.0000
Sc  0.0000  0.0000  0.5000
Sc  0.2500  0.3750  0.6250
Sc  0.2500  0.8750  0.1250
Sc  0.0000  0.5000  0.5000
Sc  0.8750  0.2500  0.6250
Sc  0.6250  0.7500  0.8750
Sc  0.8750  0.6250  0.7500
S  0.7108  0.1239  0.0344
S  0.3236  0.5344  0.4105
S  0.9656  0.3761  0.2892
S  0.5344  0.2108  0.1239
S  0.5869  0.7108  0.6764
S  0.9656  0.5895  0.1764
S  0.3236  0.7892  0.4131
S  0.0895  0.9131  0.1239
S  0.5895  0.9656  0.6764
S  0.7108  0.5869  0.1764
S  0.7892  0.4656  0.3761
S  0.8236  0.9105  0.0344
S  0.1239  0.7108  0.5344
S  0.3761  0.4105  0.0869
S  0.0869  0.9105  0.3761
S  0.4131  0.1239  0.5895
S  0.0869  0.1764  0.2108
S  0.4656  0.6764  0.0895
S  0.8236  0.9131  0.2892
S  0.1239  0.4131  0.0895
S  0.3761  0.9656  0.7892
S  0.5895  0.6239  0.4131
S  0.9105  0.8236  0.5344
S  0.7892  0.3236  0.9131
S  0.4105  0.3761  0.5869
S  0.0895  0.1764  0.4656
S  0.2108  0.6764  0.0869
S  0.1764  0.0869  0.7108
S  0.6239  0.0344  0.2108
S  0.8761  0.5869  0.9105
S  0.5344  0.3236  0.9105
S  0.5869  0.8761  0.4105
S  0.9131  0.8236  0.7892
S  0.9131  0.0895  0.6239
S  0.8761  0.2892  0.4656
S  0.1764  0.0895  0.9656
S  0.6239  0.5895  0.9131
S  0.4105  0.0344  0.3236
S  0.2892  0.4131  0.8236
S  0.2108  0.5344  0.6239
S  0.9105  0.0869  0.8761
S  0.6764  0.2108  0.5869
S  0.4656  0.7892  0.8761
S  0.0344  0.4105  0.8236
S  0.4131  0.2892  0.3236
S  0.0344  0.6239  0.7108
S  0.6764  0.4656  0.5895
S  0.2892  0.8761  0.9656

Summary:
Volume   1982.5 Å³/cell
Space-group type   Ia-3d, No. 230
Total DFT energy (no corrections)   -539.57 eV for the cell shown
Formation energy without anion corrections   -38.922 eV per formula unit



(12)
A plane-wave DFT calculation with GGA-PBE was carried out for a relaxed structure of LaSc6S8.

a b c (Å): 6.9951 6.9951 6.9951
angles (deg): 91.22 91.22 91.22
Fractional positions:
La  0.0000  0.0000  0.0000
Sc  0.5969  0.4297  0.8087
Sc  0.4297  0.8087  0.5969
Sc  0.8087  0.5969  0.4297
Sc  0.4031  0.5703  0.1913
Sc  0.5703  0.1913  0.4031
Sc  0.1913  0.4031  0.5703
S  0.7563  0.7563  0.7563
S  0.2437  0.2437  0.2437
S  0.6283  0.8633  0.2722
S  0.8633  0.2722  0.6283
S  0.2722  0.6283  0.8633
S  0.3717  0.1367  0.7278
S  0.1367  0.7278  0.3717
S  0.7278  0.3717  0.1367

Summary:
Volume   342.0 Å³/cell
Space-group type   R-3, No. 148
Total DFT energy (no corrections)   -101.72 eV for the cell shown
Formation energy without anion corrections   -25.785 eV per formula unit